(1)
CrRe2Mo | PBE | relaxed

Structure (extended XYZ):
```
4
Lattice="4.754 -0.006 0.000 -1.580 4.484 0.000 0.000 0.000 2.748" Properties=species:S:1:pos:R:3 pbc="T T T"
Mo -0.790 2.242 1.374
Re 1.587 2.239 0.000
Re 0.000 0.000 0.000
Cr 2.377 -0.003 1.374
```

Calculated values
Volume: 58.5 Å³ per cell
Energy: -11.0974 eV/atom
Offset from the most stable computed form: 59 kJ/mol of formula units
Energy of formation from the pure elements: 5.54 kcal/mol of atoms
Spin magnetization: 0.00 μB/f.u.

=====

(2)
CrRe2Mo | PBE | relaxed

Structure (extended XYZ):
```
4
Lattice="4.740 -0.010 0.003 3.942 2.633 0.003 0.810 0.245 4.674" Properties=species:S:1:pos:R:3 pbc="T T T"
Mo 2.351 0.710 1.209
Re 7.150 2.160 3.501
Re 0.844 0.255 4.637
Cr 4.700 1.420 2.346
```

Calculated values
Volume: 58.5 Å³ per cell
Energy: -11.1195 eV/atom
Offset from the most stable computed form: 51 kJ/mol of formula units
Energy of formation from the pure elements: 5.03 kcal/mol of atoms
Spin magnetization: 0.00 μB/f.u.

=====

(3)
CrReMo2 | PBE | relaxed

Structure (extended XYZ):
```
4
Lattice="-1.017 4.841 -1.334 -3.910 -3.311 0.030 -1.287 0.826 2.203" Properties=species:S:1:pos:R:3 pbc="T T T"
Cr -2.599 -1.243 1.116
Re -1.152 2.833 0.434
Mo 0.000 0.000 0.000
Mo -2.464 0.765 -0.652
```

Calculated values
Volume: 58.9 Å³ per cell
Energy: -10.8562 eV/atom
Offset from the most stable computed form: 13 kJ/mol of formula units
Energy of formation from the pure elements: 1.78 kcal/mol of atoms
Spin magnetization: 0.00 μB/f.u.

=====

(4)
CrReMo6 | PBE | relaxed

Structure (extended XYZ):
```
8
Lattice="7.039 0.002 0.049 3.508 6.103 0.020 3.494 2.036 2.905" Properties=species:S:1:pos:R:3 pbc="T T T"
Mo 8.768 6.118 2.210
Mo 9.677 3.573 0.792
Mo 4.365 4.569 2.184
Mo 5.273 2.024 0.765
Mo 11.421 7.628 2.231
Mo 2.621 0.514 0.744
Cr 0.000 0.000 0.000
Re 7.021 4.071 1.488
```

Calculated values
Volume: 123.8 Å³ per cell
Energy: -10.8410 eV/atom
Offset from the most stable computed form: 4 kJ/mol of formula units
Energy of formation from the pure elements: 0.95 kcal/mol of atoms
Spin magnetization: 0.00 μB/f.u.

=====

(5)
CrRe2Mo | PBE | relaxed

Structure (extended XYZ):
```
4
Lattice="-3.506 0.673 -1.489 -1.194 -3.481 1.239 -1.124 1.583 3.363" Properties=species:S:1:pos:R:3 pbc="T T T"
Re -1.159 -0.949 2.301
Re 0.000 0.000 0.000
Mo -2.315 1.128 0.937
Cr -2.350 -1.404 -0.125
```

Calculated values
Volume: 58.3 Å³ per cell
Energy: -11.1297 eV/atom
Offset from the most stable computed form: 47 kJ/mol of formula units
Energy of formation from the pure elements: 4.80 kcal/mol of atoms
Spin magnetization: 0.00 μB/f.u.

=====

(6)
CrRe2Mo | PBE | relaxed

Structure (extended XYZ):
```
4
Lattice="-1.503 -4.845 -0.254 -0.725 -3.967 -3.088 3.217 -2.957 -0.033" Properties=species:S:1:pos:R:3 pbc="T T T"
Re 3.156 -3.020 -0.070
Re 0.554 -5.821 -1.651
Cr 0.741 -8.827 -2.531
Mo 0.247 -2.942 -0.844
```

Calculated values
Volume: 58.0 Å³ per cell
Energy: -11.2358 eV/atom
Offset from the most stable computed form: 6 kJ/mol of formula units
Energy of formation from the pure elements: 2.35 kcal/mol of atoms
Spin magnetization: 0.00 μB/f.u.

=====

(7)
Cr2ReMo | PBE | relaxed

Structure (extended XYZ):
```
4
Lattice="2.634 0.001 0.000 -0.894 2.478 0.000 0.000 0.000 8.411" Properties=species:S:1:pos:R:3 pbc="T T T"
Mo 0.870 1.240 2.103
Re 0.870 1.240 6.308
Cr 0.000 0.000 4.221
Cr 0.000 0.000 8.395
```

Calculated values
Volume: 54.9 Å³ per cell
Energy: -10.5345 eV/atom
Energy of formation from the pure elements: 2.24 kcal/mol of atoms
Spin magnetization: 0.01 μB/f.u.

=====

(8)
CrRe2Mo | PBE | relaxed

Structure (extended XYZ):
```
4
Lattice="-0.574 -1.513 2.569 2.217 -1.966 -0.662 4.114 3.614 3.047" Properties=species:S:1:pos:R:3 pbc="T T T"
Re 0.010 0.009 0.007
Re 1.889 -0.802 1.744
Mo 3.813 0.888 3.169
Cr 2.103 1.847 1.557
```

Calculated values
Volume: 57.8 Å³ per cell
Energy: -11.2441 eV/atom
Offset from the most stable computed form: 3 kJ/mol of formula units
Energy of formation from the pure elements: 2.16 kcal/mol of atoms
Spin magnetization: 0.00 μB/f.u.

=====

(9)
CrReMo6 | PBE | relaxed

Structure (extended XYZ):
```
8
Lattice="4.427 0.000 0.000 0.000 5.106 -1.798 0.000 -0.008 5.414" Properties=species:S:1:pos:R:3 pbc="T T T"
Mo 2.214 0.635 1.805
Mo 0.000 1.890 -0.014
Mo 0.000 1.906 2.715
Mo 2.214 3.185 3.613
Mo 0.000 4.471 -0.902
Mo 0.000 4.487 1.827
Re 2.214 3.188 0.906
Cr 2.214 0.632 4.512
```

Calculated values
Volume: 122.3 Å³ per cell
Energy: -10.8461 eV/atom
Offset from the most stable computed form: 0 kJ/mol of formula units
Energy of formation from the pure elements: 0.83 kcal/mol of atoms
Spin magnetization: 0.01 μB/f.u.

=====

(10)
CrRe2Mo | PBE | relaxed

Structure (extended XYZ):
```
4
Lattice="0.000 3.073 3.073 3.073 0.000 3.073 3.073 3.073 0.000" Properties=species:S:1:pos:R:3 pbc="T T T"
Mo 3.073 3.073 3.073
Re 1.537 1.537 1.537
Re 4.610 4.610 4.610
Cr 0.000 0.000 0.000
```

Calculated values
Volume: 58.0 Å³ per cell
Energy: -11.2321 eV/atom
Offset from the most stable computed form: 7 kJ/mol of formula units
Energy of formation from the pure elements: 2.44 kcal/mol of atoms
Spin magnetization: 0.00 μB/f.u.

=====

(11)
CrReMo2 | PBE | relaxed

Structure (extended XYZ):
```
4
Lattice="-3.954 -2.822 0.731 0.273 -2.750 4.061 0.691 4.763 -0.980" Properties=species:S:1:pos:R:3 pbc="T T T"
Mo -0.438 -0.386 2.739
Mo 0.000 0.000 0.000
Re -1.841 -2.786 2.396
Cr -2.552 -0.422 1.074
```

Calculated values
Volume: 59.5 Å³ per cell
Energy: -10.6169 eV/atom
Offset from the most stable computed form: 105 kJ/mol of formula units
Energy of formation from the pure elements: 7.30 kcal/mol of atoms
Spin magnetization: 0.01 μB/f.u.

=====

(12)
CrRe2Mo | PBE | relaxed

Structure (extended XYZ):
```
4
Lattice="-0.779 -2.925 -0.369 2.117 -0.289 -2.175 4.183 -1.655 4.290" Properties=species:S:1:pos:R:3 pbc="T T T"
Mo 3.806 -2.848 1.945
Re 0.070 -0.028 0.072
Re 2.021 -0.800 2.073
Cr 1.715 -2.021 -0.200
```

Calculated values
Volume: 57.8 Å³ per cell
Energy: -11.2513 eV/atom
Offset from the most stable computed form: 0 kJ/mol of formula units
Energy of formation from the pure elements: 1.99 kcal/mol of atoms
Spin magnetization: 0.00 μB/f.u.